No. 1
# TaGaPO

An optimized crystal structure of TaGaPO (GGA-PBE, OQMD).

Its excess energy over the best structure of this formula in the dataset is 0.0 meV/atom.

The structure belongs to space group Pmc2_1 (No. 26); the cell edges are 3.8658, 7.4247 and 4.9019 Å and the angles 90.00°, 90.00° and 90.00°. The inequivalent atoms are Ta at (0.0000, 0.1214, 0.0000), Ga at (0.5000, 0.4274, 0.5260), P at (0.0000, 0.2183, 0.4996) and O at (0.5000, 0.1405, 0.0019).

No. 2
# TbGaPO

An optimized crystal structure of TbGaPO (GGA-PBE, OQMD).

Its excess energy over the best structure of this formula in the dataset is 0.0 meV/atom.

The structure belongs to space group P4/nmm (No. 129, origin choice 2); the cell edges are 4.1743, 4.1743 and 7.9244 Å and the angles 90.00°, 90.00° and 90.00°. The inequivalent atoms are Tb at (0.2500, 0.2500, 0.1213), Ga at (0.2500, 0.7500, 0.5000), P at (0.2500, 0.2500, 0.6675) and O at (0.2500, 0.7500, 0.0000).

No. 3
# TbGaPO

An optimized crystal structure of TbGaPO (GGA-PBE, OQMD).

Its excess energy over the best structure of this formula in the dataset is 125.3 meV/atom.

The structure belongs to space group Pmc2_1 (No. 26); the cell edges are 4.6245, 5.7702 and 5.6507 Å and the angles 90.00°, 90.00° and 90.00°. The inequivalent atoms are Tb at (0.0000, 0.2476, 0.0000), Ga at (0.5000, 0.1714, 0.5819), P at (0.0000, 0.2615, 0.5006) and O at (0.5000, 0.1655, 0.9585).

No. 4
# TbGaPO

An optimized crystal structure of TbGaPO (GGA-PBE, OQMD).

Its excess energy over the best structure of this formula in the dataset is 909.8 meV/atom.

The structure belongs to space group P4/nmm (No. 129, origin choice 2); the cell edges are 4.2780, 4.2780 and 9.1836 Å and the angles 90.00°, 90.00° and 90.00°. The inequivalent atoms are Tb at (0.2500, 0.7500, 0.0000), Ga at (0.2500, 0.2500, 0.4438), P at (0.2500, 0.2500, 0.1856) and O at (0.2500, 0.7500, 0.5000).